Material: La5Bi4P
Method: DFT, PBE-GGA
State: relaxed

a = 8.0023 Å, b = 8.0023 Å, c = 8.0023 Å
α = 99.67°, β = 99.67°, γ = 131.60°
Positions (direct):
La1 0.0000 0.0000 0.0000
La2 0.2180 0.4043 0.6223
La3 0.4043 0.7820 0.1864
La4 0.5957 0.2180 0.8136
La5 0.7820 0.5957 0.3777
Bi1 0.0938 0.6975 0.7913
Bi2 0.3025 0.0938 0.3962
Bi3 0.6975 0.9062 0.6038
Bi4 0.9062 0.3025 0.2087
P1 0.5000 0.5000 0.0000

Summary:
The formation energy is -108.2 kJ/mol of atoms. Its size of the total moment is 0.00 μB per formula unit. The raw total energy is -5.68 eV per atom.

=====

Material: LaBi2P2
Method: DFT, PBE-GGA
State: relaxed

a = 7.6254 Å, b = 7.6254 Å, c = 7.6254 Å
α = 146.47°, β = 146.47°, γ = 48.15°
Positions (direct):
La1 0.0000 0.0000 0.0000
Bi1 0.2500 0.7500 0.5000
Bi2 0.7500 0.2500 0.5000
P1 0.4221 0.4221 0.0000
P2 0.5779 0.5779 0.0000

Summary:
The formation energy is -29.9 kJ/mol of atoms. Its size of the total moment is 0.00 μB per formula unit. The raw total energy is -5.01 eV per atom.

=====

Material: LaBiP2
Method: DFT, PBE-GGA
State: relaxed

a = 8.1134 Å, b = 8.1134 Å, c = 8.1134 Å
α = 133.05°, β = 133.05°, γ = 68.58°
Positions (direct):
La1 0.0000 0.0000 0.0000
La2 0.7500 0.2500 0.5000
Bi1 0.2500 0.7500 0.5000
Bi2 0.5000 0.5000 0.0000
P1 0.1346 0.6250 0.0096
P2 0.3750 0.3846 0.5096
P3 0.6154 0.1250 0.9904
P4 0.8750 0.8654 0.4904

Summary:
The formation energy is -36.3 kJ/mol of atoms. Its size of the total moment is 0.00 μB per formula unit. The raw total energy is -5.28 eV per atom.